# SCAN FeSb, single point on PBEsol structure
# Space group: R-3m
# Total magnetic moment, μB/cell: 5.9
# N(E_F), states/eV per cell: 1.6
# Energy relative to the elements, uncorrected, eV per atom: 0.652
# Final energy, eV per atom: -27.043
data_FeSb
_symmetry_space_group_name_H-M 'P 1'
_symmetry_Int_Tables_number 1
_symmetry_space_group_name_Hall 'P 1'
_cell_length_a 4.582
_cell_length_b 4.582
_cell_length_c 4.582
_cell_angle_alpha 63.48
_cell_angle_beta 63.48
_cell_angle_gamma 63.48
loop_
_atom_site_label
_atom_site_type_symbol
_atom_site_fract_x
_atom_site_fract_y
_atom_site_fract_z
_atom_site_occupancy
Fe1 Fe 0.112 0.112 0.112 1
Fe2 Fe 0.888 0.888 0.888 1
Sb1 Sb 0.363 0.363 0.363 1
Sb2 Sb 0.637 0.637 0.637 1



# SCAN Ta2CrRe, single point on PBEsol structure
# Space group: P4/mmm
# Total magnetic moment, μB/cell: 0.5
# N(E_F), states/eV per cell: 2.3
# ΔH_f (0 K), meV/atom: -317
# Final energy, eV per atom: -55.979
data_Ta2CrRe
_symmetry_space_group_name_H-M 'P 1'
_symmetry_Int_Tables_number 1
_symmetry_space_group_name_Hall 'P 1'
_cell_length_a 3.120
_cell_length_b 3.120
_cell_length_c 6.240
_cell_angle_alpha 90.00
_cell_angle_beta 90.00
_cell_angle_gamma 90.00
loop_
_atom_site_label
_atom_site_type_symbol
_atom_site_fract_x
_atom_site_fract_y
_atom_site_fract_z
_atom_site_occupancy
Ta1 Ta 0.000 0.000 0.243 1
Ta2 Ta 0.000 0.000 0.757 1
Cr1 Cr 0.500 0.500 0.000 1
Re1 Re 0.500 0.500 0.500 1



- Which of these has the highest total magnetic moment?
  FeSb



- What is the final energy in the second record?
  -55.979 eV per atom



What did the second record say?
# SCAN Ta2CrRe, single point on PBEsol structure
# Space group: P4/mmm
# Total magnetic moment, μB/cell: 0.5
# N(E_F), states/eV per cell: 2.3
# ΔH_f (0 K), meV/atom: -317
# Final energy, eV per atom: -55.979
data_Ta2CrRe
_symmetry_space_group_name_H-M 'P 1'
_symmetry_Int_Tables_number 1
_symmetry_space_group_name_Hall 'P 1'
_cell_length_a 3.120
_cell_length_b 3.120
_cell_length_c 6.240
_cell_angle_alpha 90.00
_cell_angle_beta 90.00
_cell_angle_gamma 90.00
loop_
_atom_site_label
_atom_site_type_symbol
_atom_site_fract_x
_atom_site_fract_y
_atom_site_fract_z
_atom_site_occupancy
Ta1 Ta 0.000 0.000 0.243 1
Ta2 Ta 0.000 0.000 0.757 1
Cr1 Cr 0.500 0.500 0.000 1
Re1 Re 0.500 0.500 0.500 1



- Among the records above, which one has the highest N(E_F)?
  Ta2CrRe